Record 1
Material: GdZrRuAu
Method: DFT, PBE
State: relaxed Values from VASP.

Structure (Quantum ESPRESSO input):
```
&SYSTEM
  ibrav = 0, nat = 4, ntyp = 4
/
ATOMIC_SPECIES
Gd 157.25 Gd.upf
Zr 91.22 Zr.upf
Ru 101.07 Ru.upf
Au 196.97 Au.upf
ATOMIC_POSITIONS crystal
Gd 0.0000 0.0000 0.0000
Zr 0.5000 0.5000 0.5000
Ru 0.7500 0.7500 0.7500
Au 0.2500 0.2500 0.2500
CELL_PARAMETERS angstrom
0.0000 3.4457 3.4457
3.4457 0.0000 3.4457
3.4457 3.4457 0.0000
```

Properties
**Energy relative to the elements**: -0.427 eV per atom



Record 2
Material: MgGaMoOs
Method: DFT, PBE
State: relaxed Values from VASP.

Structure (Quantum ESPRESSO input):
```
&SYSTEM
  ibrav = 0, nat = 4, ntyp = 4
/
ATOMIC_SPECIES
Mg 24.30 Mg.upf
Ga 69.72 Ga.upf
Mo 95.94 Mo.upf
Os 190.23 Os.upf
ATOMIC_POSITIONS crystal
Mg 0.0000 0.0000 0.0000
Ga 0.2500 0.2500 0.2500
Mo 0.7500 0.7500 0.7500
Os 0.5000 0.5000 0.5000
CELL_PARAMETERS angstrom
0.0000 3.1167 3.1167
3.1167 0.0000 3.1167
3.1167 3.1167 0.0000
```

Properties
**Energy relative to the elements**: 0.027 eV per atom



Record 3
Material: TiBP2O
Method: DFT, PBE
State: relaxed Values from VASP.

Structure (Quantum ESPRESSO input):
```
&SYSTEM
  ibrav = 0, nat = 5, ntyp = 4
/
ATOMIC_SPECIES
Ti 47.87 Ti.upf
B 10.81 B.upf
P 30.97 P.upf
O 16.00 O.upf
ATOMIC_POSITIONS crystal
Ti 0.0000 0.0000 0.0000
B 0.5000 0.5000 0.5000
P 0.0000 0.5000 0.5000
P 0.5000 0.0000 0.5000
O 0.5000 0.5000 0.0000
CELL_PARAMETERS angstrom
4.9245 0.0000 0.0000
0.0000 4.9245 0.0000
0.0000 0.0000 2.6459
```

Properties
**Distance to the lowest polymorph of the same formula**: 0 meV per atom



Record 4
Material: SrLaW2
Method: DFT, PBE
State: relaxed Values from VASP.

Structure (Quantum ESPRESSO input):
```
&SYSTEM
  ibrav = 0, nat = 4, ntyp = 3
/
ATOMIC_SPECIES
Sr 87.62 Sr.upf
La 138.91 La.upf
W 183.84 W.upf
ATOMIC_POSITIONS crystal
Sr 0.0000 0.0000 0.0000
La 0.5198 0.5000 0.6162
W 0.0130 0.0000 0.3786
W 0.5082 0.5000 0.2551
CELL_PARAMETERS angstrom
3.3725 0.0000 0.0000
0.0000 3.3730 0.0000
-0.0877 0.0000 9.4563
```

Properties
**Energy relative to the elements**: 0.537 eV per atom
**Distance to the lowest polymorph of the same formula**: 0 meV per atom



Record 5
Material: Pr2In8Au
Method: DFT, PBE
State: relaxed Values from VASP.

Structure (Quantum ESPRESSO input):
```
&SYSTEM
  ibrav = 0, nat = 11, ntyp = 3
/
ATOMIC_SPECIES
Pr 140.91 Pr.upf
In 114.82 In.upf
Au 196.97 Au.upf
ATOMIC_POSITIONS crystal
Pr 0.0000 0.0000 0.1899
Pr 0.0000 0.0000 0.8101
In 0.0000 0.5000 0.0000
In 0.0000 0.5000 0.3713
In 0.0000 0.5000 0.6287
In 0.5000 0.0000 0.0000
In 0.5000 0.0000 0.3713
In 0.5000 0.0000 0.6287
In 0.5000 0.5000 0.1896
In 0.5000 0.5000 0.8104
Au 0.0000 0.0000 0.5000
CELL_PARAMETERS angstrom
4.8186 0.0000 0.0000
0.0000 4.8186 0.0000
0.0000 0.0000 12.3689
```

Properties
**Energy relative to the elements**: -0.382 eV per atom



Record 6
Material: SrCd2Ag6
Method: DFT, PBE
State: relaxed Values from VASP.

Structure (Quantum ESPRESSO input):
```
&SYSTEM
  ibrav = 0, nat = 9, ntyp = 3
/
ATOMIC_SPECIES
Sr 87.62 Sr.upf
Cd 112.41 Cd.upf
Ag 107.87 Ag.upf
ATOMIC_POSITIONS crystal
Sr 0.0000 0.0000 0.0000
Cd 0.3678 0.8678 0.5000
Cd 0.6322 0.1322 0.5000
Ag 0.0040 0.3153 0.6887
Ag 0.3230 0.5000 0.8230
Ag 0.3734 0.6847 0.6887
Ag 0.6266 0.3153 0.3113
Ag 0.6770 0.5000 0.1770
Ag 0.9960 0.6847 0.3113
CELL_PARAMETERS angstrom
-2.0072 3.7953 6.8805
2.0072 -3.7953 6.8805
2.0072 3.7953 -6.8805
```

Properties
**Energy relative to the elements**: -0.004 eV per atom



Record 7
Material: InAg6Sn2
Method: DFT, PBE
State: relaxed Values from VASP.

Structure (Quantum ESPRESSO input):
```
&SYSTEM
  ibrav = 0, nat = 18, ntyp = 3
/
ATOMIC_SPECIES
In 114.82 In.upf
Ag 107.87 Ag.upf
Sn 118.71 Sn.upf
ATOMIC_POSITIONS crystal
In 0.0423 0.9577 0.7500
In 0.9577 0.0423 0.2500
Ag 0.1101 0.2607 0.4973
Ag 0.2607 0.1101 0.9973
Ag 0.2767 0.5030 0.7156
Ag 0.3067 0.6879 0.4338
Ag 0.3121 0.6933 0.0662
Ag 0.4970 0.7233 0.7844
Ag 0.5030 0.2767 0.2156
Ag 0.6879 0.3067 0.9338
Ag 0.6933 0.3121 0.5662
Ag 0.7233 0.4970 0.2844
Ag 0.7393 0.8899 0.0027
Ag 0.8899 0.7393 0.5027
Sn 0.0599 0.5301 0.1875
Sn 0.4699 0.9401 0.3125
Sn 0.5301 0.0599 0.6875
Sn 0.9401 0.4699 0.8125
CELL_PARAMETERS angstrom
6.5246 -3.6609 0.0000
6.5246 3.6609 0.0000
-1.2571 0.0000 7.9868
```

Properties
**Energy relative to the elements**: 0.055 eV per atom
**Distance to the lowest polymorph of the same formula**: 27 meV per atom



Record 8
Material: La3Mo
Method: DFT, PBE
State: relaxed Values from VASP.

Structure (Quantum ESPRESSO input):
```
&SYSTEM
  ibrav = 0, nat = 8, ntyp = 2
/
ATOMIC_SPECIES
La 138.91 La.upf
Mo 95.94 Mo.upf
ATOMIC_POSITIONS crystal
La 0.0000 0.5000 0.5000
La 0.1272 0.1272 0.0000
La 0.2500 0.7500 0.5000
La 0.5000 0.0000 0.5000
La 0.7500 0.2500 0.5000
La 0.8728 0.8728 0.0000
Mo 0.3748 0.3748 0.0000
Mo 0.6252 0.6252 0.0000
CELL_PARAMETERS angstrom
-2.4306 2.4306 9.4293
2.4306 -2.4306 9.4293
2.4306 2.4306 -9.4293
```

Properties
**Energy relative to the elements**: 0.453 eV per atom
**Distance to the lowest polymorph of the same formula**: 246 meV per atom



> Which formula does entry 3 have?

TiBP2O